MnCoO2 | Alexandria via LeMat-Bulk | PBE with a Hubbard U | relaxed; offset from the most stable computed form = 1060.0 meV per atom; space group = Fm-3m; total moment = 19.1 μB/cell; ρ = 6.430 g/cm3
1.0
5.321 0.000 0.000
0.000 5.321 0.000
0.000 0.000 5.321
Mn Co O
4 4 8
Cartesian
0.000 0.000 0.000
0.000 2.661 2.661
2.661 0.000 2.661
2.661 2.661 0.000
0.000 0.000 2.661
0.000 2.661 0.000
2.661 0.000 0.000
2.661 2.661 2.661
1.330 1.330 1.330
1.330 1.330 3.991
1.330 3.991 1.330
1.330 3.991 3.991
3.991 1.330 1.330
3.991 1.330 3.991
3.991 3.991 1.330
3.991 3.991 3.991